The following is a PBE+U calculation of Li2VFeO4 after structural relaxation, from Alexandria.

E above lowest polymorph in eV per atom: 0.0716
Total energy in eV/atom: -6.439

Cell: 4.117 4.117 8.757 Å, 90.00 90.00 90.00°
Space group I-4m2 (No. 119)
One atom of each set of equivalent atoms:
Li1 0.000 0.000 0.000 (multiplicity 2)
Li2 0.000 0.500 0.250 (multiplicity 2)
V1 0.000 0.000 0.500 (multiplicity 2)
Fe1 0.000 0.500 0.750 (multiplicity 2)
O1 0.000 0.000 0.267 (multiplicity 4)
O2 0.000 0.500 0.516 (multiplicity 4)